# 1
Compound: Pr2TlAuO5
Source: Alexandria via LeMat-Bulk
Functional: GGA-PBE
Structure: relaxed

Cell lengths 6.9564, 6.9564, 6.0147 Å; angles 90.00, 90.00, 90.00 degrees
Element x y z (fractional)
1 Pr 0.1786 0.3214 0.0000
2 Pr 0.3214 0.8214 0.0000
3 Pr 0.6786 0.1786 0.0000
4 Pr 0.8214 0.6786 0.0000
5 Tl 0.0000 0.0000 0.5000
6 Tl 0.5000 0.5000 0.5000
7 Au 0.0000 0.5000 0.5000
8 Au 0.5000 0.0000 0.5000
9 O 0.0000 0.0000 0.0000
10 O 0.1313 0.6313 0.2412
11 O 0.1313 0.6313 0.7588
12 O 0.3687 0.1313 0.2412
13 O 0.3687 0.1313 0.7588
14 O 0.5000 0.5000 0.0000
15 O 0.6313 0.8687 0.2412
16 O 0.6313 0.8687 0.7588
17 O 0.8687 0.3687 0.2412
18 O 0.8687 0.3687 0.7588

Computed properties:
Crystal system = tetragonal
M_tot = 0.00 μB/cell

# 2
Compound: PtAuO2
Source: Alexandria via LeMat-Bulk
Functional: GGA-PBE
Structure: relaxed

Cell lengths 7.0940, 7.0940, 7.0940 Å; angles 145.33, 145.33, 49.85 degrees
Element x y z (fractional)
1 Pt 0.0000 0.0000 0.0000
2 Pt 0.7500 0.2500 0.5000
3 Au 0.2500 0.7500 0.5000
4 Au 0.5000 0.5000 0.0000
5 O 0.0699 0.6250 0.9449
6 O 0.3750 0.3199 0.4449
7 O 0.6801 0.1250 0.0551
8 O 0.8750 0.9301 0.5551

Computed properties:
Crystal system = tetragonal
M_tot = 0.00 μB/cell

# 3
Compound: PtAuO2
Source: Alexandria via LeMat-Bulk
Functional: GGA-PBE
Structure: relaxed

Cell lengths 6.3844, 6.3844, 6.3844 Å; angles 29.79, 29.79, 29.79 degrees
Element x y z (fractional)
1 Pt 0.0000 0.0000 0.0000
2 Au 0.5000 0.5000 0.5000
3 O 0.3856 0.3856 0.3856
4 O 0.6144 0.6144 0.6144

Computed properties:
Crystal system = trigonal
M_tot = 0.00 μB/cell

# 4
Compound: PtAu2O
Source: Alexandria via LeMat-Bulk
Functional: GGA-PBE
Structure: relaxed

Cell lengths 5.5619, 5.5619, 5.5619 Å; angles 102.87, 102.87, 123.67 degrees
Element x y z (fractional)
1 Pt 0.0000 0.0000 0.0000
2 Pt 0.7500 0.2500 0.5000
3 Au 0.1683 0.6250 0.0433
4 Au 0.3750 0.4183 0.5433
5 Au 0.5817 0.1250 0.9567
6 Au 0.8750 0.8317 0.4567
7 O 0.2500 0.7500 0.5000
8 O 0.5000 0.5000 0.0000

Computed properties:
Crystal system = tetragonal
M_tot = 0.00 μB/cell

# 5
Compound: PtAuO2
Source: Alexandria via LeMat-Bulk
Functional: GGA-PBE
Structure: relaxed

Cell lengths 6.7608, 6.7608, 6.7608 Å; angles 26.83, 26.83, 26.83 degrees
Element x y z (fractional)
1 Pt 0.0000 0.0000 0.0000
2 Au 0.5000 0.5000 0.5000
3 O 0.0988 0.0988 0.0988
4 O 0.9012 0.9012 0.9012

Computed properties:
Crystal system = trigonal
M_tot = 0.00 μB/cell

# 6
Compound: Pt3AuO6
Source: Alexandria via LeMat-Bulk
Functional: GGA-PBE
Structure: relaxed

Cell lengths 6.3861, 6.3861, 3.2002 Å; angles 90.00, 90.00, 109.25 degrees
Element x y z (fractional)
1 Pt 0.0000 0.0000 0.0000
2 Pt 0.0000 0.5000 0.5000
3 Pt 0.5000 0.0000 0.5000
4 Au 0.5000 0.5000 0.0000
5 O 0.0692 0.3306 0.0000
6 O 0.3306 0.0692 0.0000
7 O 0.3420 0.6580 0.5000
8 O 0.6580 0.3420 0.5000
9 O 0.6694 0.9308 0.0000
10 O 0.9308 0.6694 0.0000

Computed properties:
Crystal system = orthorhombic
M_tot = 0.21 μB/cell

# 7
Compound: PtAuO3
Source: Alexandria via LeMat-Bulk
Functional: GGA-PBE
Structure: relaxed

Cell lengths 4.0320, 4.0320, 4.0320 Å; angles 90.00, 90.00, 90.00 degrees
Element x y z (fractional)
1 Pt 0.0000 0.0000 0.0000
2 Au 0.5000 0.5000 0.5000
3 O 0.0000 0.5000 0.5000
4 O 0.5000 0.0000 0.5000
5 O 0.5000 0.5000 0.0000

Computed properties:
Crystal system = cubic
M_tot = 2.33 μB/cell

# 8
Compound: PtAu3O
Source: Alexandria via LeMat-Bulk
Functional: GGA-PBE
Structure: relaxed

Cell lengths 5.0664, 5.0664, 5.0664 Å; angles 90.00, 90.00, 90.00 degrees
Element x y z (fractional)
1 Pt 0.0000 0.0000 0.0000
2 Au 0.0000 0.0000 0.5000
3 Au 0.0000 0.5000 0.0000
4 Au 0.5000 0.0000 0.0000
5 O 0.5000 0.5000 0.5000

Computed properties:
Crystal system = cubic
M_tot = 0.00 μB/cell
Excess energy over the best structure of this formula in the dataset = 918 meV/atom

# 9
Compound: PtAuO2
Source: Alexandria via LeMat-Bulk
Functional: GGA-PBE
Structure: relaxed

Cell lengths 4.9314, 3.4159, 7.1475 Å; angles 90.00, 97.59, 90.00 degrees
Element x y z (fractional)
1 Pt 0.1686 0.2500 0.4224
2 Pt 0.8314 0.7500 0.5776
3 Au 0.4897 0.7500 0.2602
4 Au 0.5103 0.2500 0.7398
5 O 0.0203 0.7500 0.8448
6 O 0.2990 0.7500 0.8799
7 O 0.7010 0.2500 0.1201
8 O 0.9797 0.2500 0.1552

Computed properties:
Crystal system = monoclinic
M_tot = 0.00 μB/cell

# 10
Compound: PtAuO3
Source: Alexandria via LeMat-Bulk
Functional: GGA-PBE
Structure: relaxed

Cell lengths 6.4395, 3.7004, 7.0004 Å; angles 90.00, 106.15, 90.00 degrees
Element x y z (fractional)
1 Pt 0.0301 0.2500 0.1980
2 Pt 0.9699 0.7500 0.8020
3 Au 0.3222 0.2500 0.5650
4 Au 0.6778 0.7500 0.4350
5 O 0.0753 0.2500 0.6983
6 O 0.1491 0.7500 0.0883
7 O 0.4223 0.7500 0.5871
8 O 0.5777 0.2500 0.4129
9 O 0.8509 0.2500 0.9117
10 O 0.9247 0.7500 0.3017

Computed properties:
Crystal system = monoclinic
M_tot = 0.00 μB/cell

# 11
Compound: PtAuO2
Source: Alexandria via LeMat-Bulk
Functional: GGA-PBE
Structure: relaxed

Cell lengths 4.1022, 4.1022, 4.1022 Å; angles 60.00, 60.00, 60.00 degrees
Element x y z (fractional)
1 Pt 0.0000 0.0000 0.0000
2 Au 0.5000 0.5000 0.5000
3 O 0.2500 0.2500 0.2500
4 O 0.7500 0.7500 0.7500

Computed properties:
Crystal system = cubic
M_tot = 0.00 μB/cell

# 12
Compound: PtAuO3
Source: Alexandria via LeMat-Bulk
Functional: GGA-PBE
Structure: relaxed

Cell lengths 3.9668, 3.9668, 3.9668 Å; angles 90.00, 90.00, 90.00 degrees
Element x y z (fractional)
1 Pt 0.0000 0.0000 0.0000
2 Au 0.5000 0.5000 0.5000
3 O 0.0000 0.0000 0.5000
4 O 0.0000 0.5000 0.0000
5 O 0.5000 0.0000 0.0000

Computed properties:
Crystal system = cubic
M_tot = 1.68 μB/cell

no.,energy (eV/atom)
1,-6.411
2,-4.398
3,-4.907
4,-3.907
5,-4.630
6,-5.449
7,-3.811
8,-2.722
9,-4.520
10,-4.666
11,-4.028
12,-4.401